1.
# K2MnTe (PBE, optimized geometry)
data_K2MnTe
_chemical_formula_sum 'K8 Mn4 Te4'
_cell_length_a 8.229
_cell_length_b 8.229
_cell_length_c 8.229
_cell_angle_alpha 90.00
_cell_angle_beta 90.00
_cell_angle_gamma 90.00
_symmetry_space_group_name_H-M 'F -4 3 m'
_symmetry_Int_Tables_number 216
_symmetry_space_group_name_Hall 'F -4 2 3'
loop_
_atom_site_label
_atom_site_fract_x
_atom_site_fract_y
_atom_site_fract_z
_atom_site_occupancy
K1 0.000 0.000 0.000 1
K2 0.250 0.250 0.250 1
Mn1 0.000 0.000 0.500 1
Te1 0.250 0.250 0.750 1
# - E_form (uncorrected) (kJ per mole of atoms) = 15.0
# - magnetization (μB/f.u.) = 5.02

2.
# Nd4Y5 (PBE, optimized geometry)
data_Nd4Y5
_chemical_formula_sum 'Nd8 Y10'
_cell_length_a 10.865
_cell_length_b 10.865
_cell_length_c 5.109
_cell_angle_alpha 90.00
_cell_angle_beta 90.00
_cell_angle_gamma 90.00
_symmetry_space_group_name_H-M 'I 4/m m m'
_symmetry_Int_Tables_number 139
_symmetry_space_group_name_Hall '-I 4 2'
loop_
_atom_site_label
_atom_site_fract_x
_atom_site_fract_y
_atom_site_fract_z
_atom_site_occupancy
Nd1 0.167 0.167 0.000 1
Y1 0.000 0.000 0.500 1
Y2 0.000 0.334 0.500 1
# - formation energy (eV/atom) = 0.016
# - magnetization (μB/f.u.) = 0.00

3.
# Pm6PrIn2 (PBE, optimized geometry)
data_Pm6PrIn2
_chemical_formula_sum 'Pm6 Pr1 In2'
_cell_length_a 4.887
_cell_length_b 4.887
_cell_length_c 12.513
_cell_angle_alpha 90.00
_cell_angle_beta 90.00
_cell_angle_gamma 90.00
_symmetry_space_group_name_H-M 'P 4/m m m'
_symmetry_Int_Tables_number 123
_symmetry_space_group_name_Hall '-P 4 2'
loop_
_atom_site_label
_atom_site_fract_x
_atom_site_fract_y
_atom_site_fract_z
_atom_site_occupancy
Pm1 0.000 0.000 0.000 1
Pm2 0.000 0.500 0.220 1
Pm3 0.500 0.500 0.000 1
Pr1 0.000 0.000 0.500 1
In1 0.500 0.500 0.389 1
# - formation energy (eV/atom) = -0.106
# - energy relative to the lowest polymorph listed for this composition (meV per atom) = 89
# - magnetization (μB/f.u.) = 0.00

4.
# K5Na4 (PBE, optimized geometry)
data_K5Na4
_chemical_formula_sum 'K10 Na8'
_cell_length_a 14.175
_cell_length_b 6.620
_cell_length_c 12.502
_cell_angle_alpha 90.00
_cell_angle_beta 122.05
_cell_angle_gamma 90.00
_symmetry_space_group_name_H-M 'C 1 2/m 1'
_symmetry_Int_Tables_number 12
_symmetry_space_group_name_Hall '-C 2y'
loop_
_atom_site_label
_atom_site_fract_x
_atom_site_fract_y
_atom_site_fract_z
_atom_site_occupancy
K1 0.000 0.000 0.000 1
K2 0.137 0.500 0.874 1
K3 0.177 0.500 0.553 1
Na1 0.007 0.000 0.651 1
Na2 0.193 0.500 0.228 1
# - formation energy (eV/atom) = 0.024
# - energy relative to the lowest polymorph listed for this composition (meV per atom) = 0
# - magnetization (μB/f.u.) = 0.00

5.
# FeAgPd5 (PBE, optimized geometry)
data_FeAgPd5
_chemical_formula_sum 'Fe2 Ag2 Pd10'
_cell_length_a 5.171
_cell_length_b 7.028
_cell_length_c 9.159
_cell_angle_alpha 90.00
_cell_angle_beta 90.00
_cell_angle_gamma 90.00
_symmetry_space_group_name_H-M 'I m m 2'
_symmetry_Int_Tables_number 44
_symmetry_space_group_name_Hall 'I 2 -2'
loop_
_atom_site_label
_atom_site_fract_x
_atom_site_fract_y
_atom_site_fract_z
_atom_site_occupancy
Fe1 0.000 0.000 0.000 1
Ag1 0.000 0.500 0.012 1
Pd1 0.000 0.315 0.270 1
Pd2 0.000 0.500 0.509 1
Pd3 0.250 0.000 0.252 1
# - formation energy (eV/atom) = 0.848
# - energy relative to the lowest polymorph listed for this composition (meV per atom) = 772
# - magnetization (μB/f.u.) = 4.94

6.
# Ba8SnTe3I4 (PBE, optimized geometry)
data_Ba8SnTe3I4
_chemical_formula_sum 'Ba24 Sn3 Te9 I12'
_cell_length_a 10.0914
_cell_length_b 10.0914
_cell_length_c 24.7341
_cell_angle_alpha 90.00
_cell_angle_beta 90.00
_cell_angle_gamma 120.00
_symmetry_space_group_name_H-M 'R -3 m'
_symmetry_Int_Tables_number 166
_symmetry_space_group_name_Hall '-R 3 2"'
loop_
_atom_site_label
_atom_site_fract_x
_atom_site_fract_y
_atom_site_fract_z
_atom_site_occupancy
Ba1 0.0000 0.0000 0.2426 1
Ba2 0.0087 0.5043 0.2417 1
Sn1 0.0000 0.0000 0.5000 1
Te1 0.0000 0.5000 0.5000 1
I1 0.0000 0.0000 0.0000 1
I2 0.0000 0.5000 0.0000 1
# - E_form (uncorrected) (kJ per mole of atoms) = -142.6
# - magnetization (μB/f.u.) = 0.00